[1]
VASP calculation (GGA-PBE) on a relaxed structure of TlPb2F6.

```
18
Lattice="5.631 0.000 0.000 0.000 5.631 0.000 0.000 0.000 11.725" Properties=species:S:1:pos:R:3 pbc="T T T"
Tl 2.815 2.815 0.000
Tl 0.000 0.000 5.863
Pb 2.815 2.815 3.910
Pb 2.815 2.815 7.816
Pb 0.000 0.000 1.953
Pb 0.000 0.000 9.773
F 3.896 3.896 1.941
F 3.896 3.896 9.784
F 3.914 3.914 5.863
F 4.533 1.098 0.000
F 4.551 1.080 3.921
F 4.551 1.080 7.804
F 1.080 4.551 3.921
F 1.080 4.551 7.804
F 1.098 4.533 0.000
F 1.717 1.717 5.863
F 1.735 1.735 1.941
F 1.735 1.735 9.784
```

space group = No. 136
M_tot = 0.00 Bohr magnetons per cell
crystal system = tetragonal
raw formation energy = -2.121 eV per atom

---

[2]
VASP calculation (GGA-PBE) on a relaxed structure of InNiSe2.

```
4
Lattice="-2.914 -1.504 3.380 -0.359 -3.146 -3.485 2.768 -1.982 1.504" Properties=species:S:1:pos:R:3 pbc="T T T"
In -0.073 -1.743 2.442
Ni 1.204 -2.564 -0.991
Se 0.000 0.000 0.000
Se -1.636 -2.325 -0.053
```

space group = No. 65
M_tot = 0.55 Bohr magnetons per cell
crystal system = orthorhombic
raw formation energy = 0.271 eV per atom

---

[3]
VASP calculation (GGA-PBE) on a relaxed structure of KP2Au.

```
4
Lattice="-3.034 1.865 -0.988 0.204 -1.463 -3.388 -3.783 -5.109 1.978" Properties=species:S:1:pos:R:3 pbc="T T T"
Au -2.361 -1.076 -1.693
K -4.252 -3.631 -0.704
P -0.355 -0.479 0.186
P -1.537 -2.075 0.803
```

space group = No. 123
M_tot = 0.00 Bohr magnetons per cell
ΔE to the lowest computed polymorph = 138 kJ/mol of formula units
crystal system = tetragonal
energy of formation from the pure elements = 0.034 eV per atom

---

[4]
VASP calculation (GGA-PBE) on a relaxed structure of Ca2CeErSb4.

```
8
Lattice="-2.219 -3.889 -0.352 6.585 -3.581 -1.941 -0.899 -0.182 7.685" Properties=species:S:1:pos:R:3 pbc="T T T"
Ca -1.559 -2.036 3.667
Ca 2.843 -1.882 2.872
Ce 0.000 0.000 0.000
Er 2.183 -3.735 -1.146
Sb 0.313 -2.877 1.168
Sb 3.155 -4.775 4.225
Sb 1.007 -1.060 5.371
Sb 4.679 -2.703 0.373
```

space group = No. 10
M_tot = 0.00 Bohr magnetons per cell
crystal system = monoclinic
raw formation energy = -0.944 eV per atom

---

[5]
VASP calculation (GGA-PBE) on a relaxed structure of TcSbTe2Ir.

```
5
Lattice="5.076 0.000 0.000 0.000 5.076 0.000 0.000 0.000 5.045" Properties=species:S:1:pos:R:3 pbc="T T T"
Sb 0.000 0.000 2.522
Ir 2.538 2.538 2.522
Te 0.000 2.538 0.000
Te 2.538 0.000 0.000
Tc 0.000 0.000 0.000
```

space group = No. 123
M_tot = 0.00 Bohr magnetons per cell
ΔE to the lowest computed polymorph = 16 kJ/mol of formula units
crystal system = tetragonal
raw formation energy = 1.154 eV per atom

---

[6]
VASP calculation (GGA-PBE) on a relaxed structure of PrEr3B4O12.

```
20
Lattice="6.503 0.081 0.113 -1.488 6.331 0.113 -1.488 -1.902 6.040" Properties=species:S:1:pos:R:3 pbc="T T T"
Pr 0.000 0.000 0.000
Er 2.811 2.969 0.113
Er 2.204 -0.986 3.301
Er -1.488 2.527 2.851
B 5.448 -0.626 3.133
B -1.921 1.340 5.866
B 1.764 6.051 0.401
B 1.764 2.255 3.133
O 1.764 1.133 3.941
O 4.981 3.054 0.747
O -1.454 4.772 3.133
O 1.764 -1.060 5.519
O 0.677 5.842 1.240
O -0.822 0.493 5.933
O 5.507 0.521 2.351
O 2.851 5.189 0.333
O -1.979 2.446 5.026
O 4.349 -0.959 3.915
O 2.853 2.526 2.325
O 0.675 3.107 3.133
```

space group = No. 155
M_tot = 0.00 Bohr magnetons per cell
crystal system = trigonal
raw formation energy = -3.093 eV per atom

---

[7]
VASP calculation (GGA-PBE) on a relaxed structure of La5HoSn3.

```
18
Lattice="6.870 0.000 0.000 0.000 9.768 0.000 0.000 -4.884 8.460" Properties=species:S:1:pos:R:3 pbc="T T T"
La 0.000 4.884 2.820
La 3.435 0.000 5.640
La 0.000 0.000 5.640
La 3.435 4.884 2.820
La 5.153 3.268 5.660
La 5.153 -1.616 2.800
La 5.153 3.233 0.000
La 1.718 1.616 2.800
La 1.718 6.500 5.660
La 1.718 6.535 0.000
Ho 0.000 0.000 0.000
Ho 3.435 0.000 0.000
Sn 5.153 1.621 2.808
Sn 5.153 6.505 5.652
Sn 5.153 6.526 0.000
Sn 1.718 3.263 5.652
Sn 1.718 -1.621 2.808
Sn 1.718 3.242 0.000
```

space group = No. 193
M_tot = 6.44 Bohr magnetons per cell
crystal system = hexagonal
energy of formation from the pure elements = -0.576 eV per atom

---

[8]
VASP calculation (GGA-PBE) on a relaxed structure of NbAl2NO.

```
5
Lattice="5.186 0.000 0.000 0.000 3.912 0.000 0.000 0.000 5.186" Properties=species:S:1:pos:R:3 pbc="T T T"
Nb 0.000 0.000 0.000
Al 0.000 0.000 2.593
Al 2.593 0.000 0.000
O 2.593 1.956 2.593
N 0.000 1.956 0.000
```

space group = No. 123
M_tot = 0.01 Bohr magnetons per cell
crystal system = tetragonal
raw formation energy = 0.874 eV per atom

---

[9]
VASP calculation (GGA-PBE) on a relaxed structure of Nd4HoSi4.

```
18
Lattice="6.069 0.000 0.000 0.000 8.955 0.000 0.000 0.000 8.955" Properties=species:S:1:pos:R:3 pbc="T T T"
Nd 2.200 2.717 8.252
Nd 5.235 5.181 7.195
Nd 2.200 6.238 0.703
Nd 0.835 1.760 5.181
Nd 3.870 8.252 6.238
Nd 0.835 7.195 3.775
Nd 5.235 3.775 1.760
Nd 3.870 0.703 2.717
Ho 0.000 0.000 0.000
Ho 3.035 4.478 4.478
Si 3.946 6.788 3.303
Si 3.946 2.167 5.652
Si 0.911 7.781 6.645
Si 5.158 2.310 7.781
Si 5.158 6.645 1.174
Si 2.123 3.303 2.167
Si 2.123 5.652 6.788
Si 0.911 1.174 2.310
```

space group = No. 86
M_tot = 0.00 Bohr magnetons per cell
crystal system = tetragonal
raw formation energy = -0.479 eV per atom

---

[10]
VASP calculation (GGA-PBE) on a relaxed structure of PrPu2Rh2.

```
10
Lattice="-5.629 0.008 -1.820 -4.371 -1.246 3.935 -5.868 7.817 -1.752" Properties=species:S:1:pos:R:3 pbc="T T T"
Pr -10.375 1.859 0.427
Pr -5.493 4.719 -0.063
Pu -6.897 0.804 -0.613
Pu -7.782 5.900 -2.368
Pu -8.086 0.679 2.732
Pu -8.970 5.775 0.977
Rh -11.893 6.883 0.162
Rh -8.219 3.582 -1.135
Rh -3.975 -0.304 0.202
Rh -7.649 2.997 1.499
```

space group = No. 2
M_tot = 22.26 Bohr magnetons per cell
ΔE to the lowest computed polymorph = 0 kJ/mol of formula units
crystal system = triclinic
energy of formation from the pure elements = -0.408 eV per atom

---

[11]
VASP calculation (GGA-PBE) on a relaxed structure of CsLiHo2Cl8.

```
12
Lattice="-5.432 3.861 -2.139 -5.045 -4.282 1.688 -0.477 3.542 7.578" Properties=species:S:1:pos:R:3 pbc="T T T"
Cs -0.238 1.771 3.789
Li 0.000 0.000 0.000
Ho -5.604 2.490 5.551
Ho -5.350 0.633 1.576
Cl -4.873 -1.779 2.397
Cl -7.005 -0.541 -0.179
Cl -5.784 2.789 0.204
Cl -6.081 4.901 4.730
Cl -3.949 3.663 7.306
Cl -5.170 0.333 6.923
Cl -7.097 1.218 3.620
Cl -3.857 1.904 3.507
```

space group = No. 2
M_tot = 0.00 Bohr magnetons per cell
crystal system = triclinic
raw formation energy = -2.097 eV per atom

---

[12]
VASP calculation (GGA-PBE) on a relaxed structure of LaPm.

```
8
Lattice="6.406 0.000 3.698 2.135 6.039 3.698 0.000 0.000 7.397" Properties=species:S:1:pos:R:3 pbc="T T T"
La 7.473 5.284 12.944
La 7.473 5.284 9.246
La 6.406 2.265 11.095
La 4.270 5.284 11.095
Pm 3.203 2.265 5.547
Pm 3.203 2.265 9.246
Pm 4.270 5.284 7.397
Pm 6.406 2.265 7.397
```

space group = No. 227
M_tot = 0.00 Bohr magnetons per cell
ΔE to the lowest computed polymorph = 0 kJ/mol of formula units
crystal system = cubic
energy of formation from the pure elements = 0.010 eV per atom

---

[13]
VASP calculation (GGA-PBE) on a relaxed structure of TbPr2HoSb4.

```
8
Lattice="-1.627 -3.105 2.784 2.432 -5.576 -4.800 5.588 1.641 5.096" Properties=species:S:1:pos:R:3 pbc="T T T"
Tb 0.000 0.000 0.000
Pr 1.981 -0.732 3.940
Pr 4.010 -1.968 0.148
Ho 0.403 -4.341 -1.008
Sb 1.126 -2.540 1.423
Sb 5.268 -4.501 1.657
Sb 4.874 -0.172 2.657
Sb 3.146 -3.764 -2.361
```

space group = No. 10
M_tot = 0.00 Bohr magnetons per cell
crystal system = monoclinic
raw formation energy = -1.157 eV per atom

---

[14]
VASP calculation (GGA-PBE) on a relaxed structure of MgScBr2.

```
4
Lattice="10.928 -0.036 -0.021 10.345 3.523 -0.021 10.345 1.696 3.088" Properties=species:S:1:pos:R:3 pbc="T T T"
Br 0.905 0.148 0.087
Br 14.904 2.443 1.436
Mg 7.904 1.296 0.761
Sc 23.713 3.887 2.284
```

space group = No. 166
M_tot = 0.54 Bohr magnetons per cell
ΔE to the lowest computed polymorph = 22 kJ/mol of formula units
crystal system = trigonal
raw formation energy = -0.927 eV per atom

---

[15]
VASP calculation (GGA-PBE) on a relaxed structure of K2TmNpO6.

```
20
Lattice="6.032 0.000 0.000 0.000 6.032 0.000 0.000 0.000 8.531" Properties=species:S:1:pos:R:3 pbc="T T T"
K 3.016 4.524 2.133
K 0.000 1.508 6.399
K 3.016 4.524 6.398
K 0.000 1.508 2.133
Tm 0.000 4.523 4.266
Tm 3.016 1.510 0.000
Np 3.016 1.506 4.266
Np 0.000 4.526 0.000
O 3.016 1.507 2.231
O 3.016 1.507 6.300
O 0.000 4.525 2.034
O 0.000 4.525 6.497
O 1.579 0.068 4.266
O 4.453 0.068 4.266
O 1.577 2.943 4.266
O 4.455 2.943 4.266
O 4.593 3.089 0.000
O 1.439 3.089 0.000
O 1.437 5.965 0.000
O 4.595 5.965 0.000
```

space group = No. 225
M_tot = 0.00 Bohr magnetons per cell
crystal system = cubic
raw formation energy = -2.701 eV per atom

---

[16]
VASP calculation (GGA-PBE) on a relaxed structure of NaSb2Ru.

```
8
Lattice="6.960 0.000 0.000 0.000 6.960 0.000 3.480 3.480 5.592" Properties=species:S:1:pos:R:3 pbc="T T T"
Sb 5.809 1.740 1.398
Sb 1.151 5.220 1.398
Sb 5.220 4.631 4.194
Sb 8.700 9.289 4.194
Na 3.480 3.480 0.000
Na 3.480 6.960 2.796
Ru 0.000 0.000 0.000
Ru 6.960 3.480 2.796
```

space group = No. 122
M_tot = 0.00 Bohr magnetons per cell
ΔE to the lowest computed polymorph = 134 kJ/mol of formula units
crystal system = tetragonal
raw formation energy = 0.177 eV per atom

---

[17]
VASP calculation (GGA-PBE) on a relaxed structure of MnBeSbTe2.

```
5
Lattice="5.013 0.000 0.000 0.000 5.013 0.000 0.000 0.000 4.664" Properties=species:S:1:pos:R:3 pbc="T T T"
Sb 0.000 0.000 2.332
Te 0.000 2.507 0.000
Te 2.507 0.000 0.000
Mn 2.507 2.507 2.332
Be 0.000 0.000 0.000
```

space group = No. 123
M_tot = 0.00 Bohr magnetons per cell
ΔE to the lowest computed polymorph = 124 kJ/mol of formula units
crystal system = tetragonal
raw formation energy = 1.080 eV per atom

---

[18]
VASP calculation (GGA-PBE) on a relaxed structure of Pm3Sn2Rh2.

```
28
Lattice="5.915 0.000 0.000 0.000 8.345 0.000 0.000 0.000 13.890" Properties=species:S:1:pos:R:3 pbc="T T T"
Pm 0.970 5.040 1.311
Pm 4.945 3.305 8.256
Pm 4.945 0.867 5.634
Pm 0.970 7.477 12.579
Pm 4.945 3.305 12.579
Pm 0.970 5.040 5.634
Pm 0.970 7.477 8.256
Pm 4.945 0.867 1.311
Pm 2.215 2.032 3.472
Pm 3.700 6.312 10.417
Pm 3.700 6.205 3.472
Pm 2.215 2.140 10.417
Sn 1.944 2.086 0.000
Sn 3.972 6.259 6.945
Sn 3.972 6.259 0.000
Sn 1.944 2.086 6.945
Sn 5.193 3.285 3.472
Sn 0.722 5.060 10.417
Sn 0.722 7.457 3.472
Sn 5.193 0.887 10.417
Rh 3.672 3.805 1.292
Rh 2.243 4.540 8.237
Rh 2.243 7.978 5.653
Rh 3.672 0.367 12.598
Rh 2.243 4.540 12.598
Rh 3.672 3.805 5.653
Rh 3.672 0.367 8.237
Rh 2.243 7.978 1.292
```

space group = No. 57
M_tot = 0.00 Bohr magnetons per cell
crystal system = orthorhombic
energy of formation from the pure elements = -0.819 eV per atom

---

[19]
VASP calculation (GGA-PBE) on a relaxed structure of Tm6CoTe3.

```
20
Lattice="-0.575 -3.812 0.367 6.987 -1.913 -8.907 7.581 -0.159 10.221" Properties=species:S:1:pos:R:3 pbc="T T T"
Tm 7.903 -3.890 2.634
Tm 6.090 -1.995 -0.952
Tm 7.235 -4.678 -6.593
Tm 6.757 -1.206 8.275
Tm 3.391 -3.690 -2.357
Tm 10.602 -2.195 4.039
Tm 7.493 -4.406 -3.363
Tm 6.500 -1.478 5.044
Tm 3.488 -3.102 3.893
Tm 10.504 -2.782 -2.211
Tm 10.914 -4.508 0.937
Tm 3.079 -1.376 0.745
Co 5.070 -3.037 7.041
Co 8.923 -2.847 -5.359
Te 8.577 -3.688 5.780
Te 5.415 -2.196 -4.098
Te 8.180 -4.224 -0.402
Te 5.812 -1.660 2.084
Te 1.015 -3.164 -0.626
Te 12.977 -2.720 2.307
```

space group = No. 11
M_tot = 0.00 Bohr magnetons per cell
crystal system = monoclinic
raw formation energy = -0.707 eV per atom

---

[20]
VASP calculation (GGA-PBE) on a relaxed structure of SnPb2S2Cl2.

```
7
Lattice="-2.598 -1.163 -3.011 3.388 -5.990 -3.464 -1.045 -6.888 3.566" Properties=species:S:1:pos:R:3 pbc="T T T"
Sn 0.000 0.000 0.000
Pb -1.563 -5.790 -2.116
Pb 1.307 -8.250 -0.793
S -1.423 -8.426 -1.220
S 1.167 -5.614 -1.689
Cl 1.070 -11.575 -2.155
Cl -1.326 -2.465 -0.754
```

space group = No. 12
M_tot = 0.00 Bohr magnetons per cell
crystal system = monoclinic
raw formation energy = -0.712 eV per atom

---

[21]
VASP calculation (GGA-PBE) on a relaxed structure of KScIr2.

```
4
Lattice="-6.177 -0.969 -0.422 -3.489 -1.910 4.843 3.681 4.084 -3.009" Properties=species:S:1:pos:R:3 pbc="T T T"
Ir -9.587 -2.855 4.385
Ir -4.096 0.709 -0.413
K -4.928 -1.467 2.254
Sc -1.874 0.500 1.818
```

space group = No. 44
M_tot = 0.00 Bohr magnetons per cell
ΔE to the lowest computed polymorph = 119 kJ/mol of formula units
crystal system = orthorhombic
energy of formation from the pure elements = 0.277 eV per atom